# 1
Entry from Alexandria: an optimized crystal structure of CrCoRe2 (PBE).

Computed properties:
Size of the total moment, μB/cell: 1.1
Formation energy from the elements, kJ per mole of atoms: 20.1
Symmetry: R-3m (166)
Distance to the lowest polymorph of the same formula, meV/atom: 161
Crystal system: trigonal

Cell lengths 8.7219, 8.7219, 8.7219 Å; angles 17.70, 17.70, 17.70 degrees
With the nearest neighbours (Å) after each atom.
Atoms (fractional coordinates):
Cr: 0.7500 0.7500 0.7500  6 Re 2.67, 6 Cr 2.68
Re: 0.9989 0.9989 0.9989  3 Co 2.62, 3 Cr 2.67, 6 Re 2.68
Co: 0.2500 0.2500 0.2500  6 Re 2.62, 6 Co 2.68
Re: 0.5011 0.5011 0.5011  3 Co 2.62, 3 Cr 2.67, 6 Re 2.68

---

# 2
Entry from Alexandria: an optimized crystal structure of PrNi2C2 (PBE).

Computed properties:
Size of the total moment, μB/cell: 0.0
Formation energy from the elements, kJ per mole of atoms: -5.9
Symmetry: Cmcm (63)
Crystal system: orthorhombic

Cell lengths 3.7471, 5.1487, 7.0562 Å; angles 90.00, 90.00, 111.34 degrees
With the nearest neighbours (Å) after each atom.
Atoms (fractional coordinates):
Ni: 0.6654 0.3309 0.0582  3 C 1.99-2.01
Pr: 0.0683 0.1367 0.7500  2 C 2.63, 2 Ni 2.89
C: 0.1959 0.3917 0.3488  1 C 1.39
Ni: 0.3346 0.6691 0.9418  3 C 1.99-2.01
C: 0.8041 0.6083 0.6512  1 C 1.39
Ni: 0.3346 0.6691 0.5582  3 C 1.99-2.01
Pr: 0.9317 0.8633 0.2500  2 C 2.63, 2 Ni 2.89
C: 0.1959 0.3917 0.1512  1 C 1.39
C: 0.8041 0.6083 0.8488  1 C 1.39
Ni: 0.6654 0.3309 0.4418  3 C 1.99-2.01

---

# 3
Entry from Alexandria: an optimized crystal structure of Tl5SBr4 (PBE).

Computed properties:
Size of the total moment, μB/cell: 0.0
Symmetry: I4 (79)
Raw formation energy, eV per atom: -0.654
Crystal system: tetragonal

Cell lengths 6.4362, 8.0779, 8.0779 Å; angles 80.87, 66.52, 66.52 degrees
With the nearest neighbours (Å) after each atom.
Atoms (fractional coordinates):
Tl: 0.2750 0.8139 0.6379  1 S 3.02, 4 Br 3.23-3.37
Tl: 0.0889 0.6379 0.1861  1 S 3.02, 4 Br 3.23-3.37
Tl: 0.7269 0.1861 0.3621  1 S 3.02, 4 Br 3.23-3.37
Tl: 0.5002 0.0000 0.0000  2 S 3.20-3.24, 4 Br 3.31
Br: 0.2011 0.2006 0.3988  6 Tl 3.23-3.60
Tl: 0.9129 0.3621 0.8139  1 S 3.02, 4 Br 3.23-3.37
S: 0.0031 0.0000 0.0000  6 Tl 3.02-3.24
Br: 0.4017 0.3988 0.7994  6 Tl 3.23-3.60
Br: 0.5999 0.6012 0.2006  6 Tl 3.23-3.60
Br: 0.8005 0.7994 0.6012  6 Tl 3.23-3.60

---

# 4
Entry from Alexandria: an optimized crystal structure of ThPIrRu (PBE).

Computed properties:
Size of the total moment, μB/cell: 0.0
Formation energy from the elements, kJ per mole of atoms: -46.5
Symmetry: Amm2 (38)
Crystal system: orthorhombic

Cell lengths 4.0651, 3.9842, 5.0864 Å; angles 113.06, 90.00, 90.00 degrees
With the nearest neighbours (Å) after each atom.
Atoms (fractional coordinates):
Th: 0.5000 0.2184 0.4368  3 Ir 2.61-2.87
P: 0.0000 0.6243 0.2486  2 Ir 2.35, 1 Ru 2.46
Ir: 0.5000 0.4977 0.9954  2 P 2.35, 1 Th 2.61
Ru: 0.0000 0.8874 0.7748  1 P 2.46

---

# 5
Entry from Alexandria: an optimized crystal structure of KAl3C (PBE).

Computed properties:
Size of the total moment, μB/cell: 1.4
Formation energy from the elements, kJ per mole of atoms: 268.2
Symmetry: Pm-3m (221)
Distance to the lowest polymorph of the same formula, meV/atom: 1908
Crystal system: cubic

Cell lengths 6.0080, 6.0080, 6.0080 Å; angles 90.00, 90.00, 90.00 degrees
With the nearest neighbours (Å) after each atom.
Atoms (fractional coordinates):
C: 0.5000 0.5000 0.5000  12 Al 4.25
Al: 0.5000 0.0000 0.0000  2 K 3.00
Al: 0.0000 0.0000 0.5000  2 K 3.00
K: 0.0000 0.0000 0.0000  6 Al 3.00
Al: 0.0000 0.5000 0.0000  2 K 3.00

---

# 6
Entry from Alexandria: an optimized crystal structure of Dy3Y4Ho (PBE).

Computed properties:
Size of the total moment, μB/cell: 0.0
Formation energy from the elements, kJ per mole of atoms: 19.7
Symmetry: C2/m (12)
Distance to the lowest polymorph of the same formula, meV/atom: 201
Crystal system: monoclinic

Cell lengths 5.6169, 3.5572, 13.4174 Å; angles 89.93, 102.08, 90.00 degrees
With the nearest neighbours (Å) after each atom.
Atoms (fractional coordinates):
Ho: 0.5000 0.0000 0.0000  4 Y 3.23-3.24, 4 Dy 3.32, 2 Ho 3.56
Dy: 0.8449 0.9995 0.6899  2 Dy 3.56, 10 Y 3.59-3.77
Y: 0.3970 0.4999 0.7940  1 Y 3.14, 2 Ho 3.23-3.24
Y: 0.7228 0.5009 0.4455  3 Y 3.14-3.15
Dy: 0.1551 0.0005 0.3101  2 Dy 3.56, 10 Y 3.59-3.77
Y: 0.2772 0.4991 0.5545  3 Y 3.14-3.15
Dy: 0.0000 0.5000 0.0000  4 Ho 3.32, 2 Dy 3.56
Y: 0.6030 0.5001 0.2060  1 Y 3.14, 2 Ho 3.23-3.24

---

# 7
Entry from Alexandria: an optimized crystal structure of Pm8BiRu2 (PBE).

Computed properties:
Size of the total moment, μB/cell: 0.0
Formation energy from the elements, kJ per mole of atoms: -22.0
Symmetry: C2/m (12)
Crystal system: monoclinic

Cell lengths 5.7135, 8.0827, 8.0827 Å; angles 113.74, 97.51, 97.51 degrees
With the nearest neighbours (Å) after each atom.
Atoms (fractional coordinates):
Pm: 0.9291 0.6703 0.9284  2 Ru 2.91-2.92
Pm: 0.0709 0.0716 0.3297  2 Ru 2.91-2.92
Pm: 0.0709 0.3297 0.0716  2 Ru 2.91-2.92
Pm: 0.5000 0.2493 0.7507  2 Ru 2.95
Bi: 0.5000 0.0000 0.0000  12 Pm 3.37-3.78
Pm: 0.2953 0.6045 0.6045  2 Ru 3.18, 4 Pm 3.31-3.48, 1 Bi 3.41
Pm: 0.9291 0.9284 0.6703  2 Ru 2.91-2.92
Ru: 0.0000 0.6978 0.3022  8 Pm 2.91-3.18
Ru: 0.0000 0.3022 0.6978  8 Pm 2.91-3.18
Pm: 0.7047 0.3955 0.3955  2 Ru 3.18, 4 Pm 3.31-3.48, 1 Bi 3.41
Pm: 0.5000 0.7507 0.2493  2 Ru 2.95

---

# 8
Entry from Alexandria: an optimized crystal structure of Y3PbI (PBE).

Computed properties:
Size of the total moment, μB/cell: 0.0
Symmetry: Pm-3m (221)
Distance to the lowest polymorph of the same formula, meV/atom: 0
Raw formation energy, eV per atom: 0.128
Crystal system: cubic

Cell lengths 5.6102, 5.6102, 5.6102 Å; angles 90.00, 90.00, 90.00 degrees
With the nearest neighbours (Å) after each atom.
Atoms (fractional coordinates):
Y: 0.0000 0.0000 0.5000  2 I 2.81
Y: 0.5000 0.0000 0.0000  2 I 2.81
Y: 0.0000 0.5000 0.0000  2 I 2.81
Pb: 0.5000 0.5000 0.5000  12 Y 3.97
I: 0.0000 0.0000 0.0000  6 Y 2.81

---

# 9
Entry from Alexandria: an optimized crystal structure of KSr2Re (PBE).

Computed properties:
Size of the total moment, μB/cell: 0.0
Formation energy from the elements, kJ per mole of atoms: 106.5
Symmetry: Pm (6)
Distance to the lowest polymorph of the same formula, meV/atom: 284
Crystal system: monoclinic

Cell lengths 5.4164, 3.2082, 8.9364 Å; angles 89.86, 90.00, 90.00 degrees
With the nearest neighbours (Å) after each atom.
Atoms (fractional coordinates):
Sr: 0.0000 0.1294 0.9265  4 Re 3.19-3.20, 4 Sr 3.21-3.49
Sr: 0.5000 0.1249 0.1722  2 Re 3.18, 4 Sr 3.21-3.49
K: 0.0000 0.6168 0.5361  2 K 3.21
Re: 0.5000 0.6289 0.8652  6 Sr 3.18-3.20, 2 Re 3.21

---

# 10
Entry from Alexandria: an optimized crystal structure of Sm2SiSb (PBE).

Computed properties:
Size of the total moment, μB/cell: 0.0
Symmetry: R-3m (166)
Distance to the lowest polymorph of the same formula, meV/atom: 92
Raw formation energy, eV per atom: -0.800
Crystal system: trigonal

Cell lengths 4.2788, 4.2788, 7.6718 Å; angles 73.81, 73.81, 60.00 degrees
With the nearest neighbours (Å) after each atom.
Atoms (fractional coordinates):
Sm: 0.7445 0.7445 0.7666  3 Si 3.00, 3 Sb 3.14
Sb: 0.5000 0.5000 0.5000  6 Sm 3.14
Sm: 0.2555 0.2555 0.2334  3 Si 3.00, 3 Sb 3.14
Si: 0.0000 0.0000 0.0000  6 Sm 3.00

---

# 11
Entry from Alexandria: an optimized crystal structure of K3Ce2CrSe6 (PBE).

Computed properties:
Size of the total moment, μB/cell: 5.0
Symmetry: C2/m (12)
Raw formation energy, eV per atom: -1.360
Crystal system: monoclinic

Cell lengths 7.2815, 7.2815, 8.0328 Å; angles 98.71, 98.71, 120.05 degrees
With the nearest neighbours (Å) after each atom.
Atoms (fractional coordinates):
Se: 0.9332 0.6203 0.7995  1 Cr 2.75, 2 Ce 2.94
K: 0.1689 0.8311 0.5000  6 Se 3.29-3.43
Se: 0.2453 0.2453 0.7994  1 Cr 2.74, 2 Ce 2.94
Ce: 0.3336 0.6664 0.0000  6 Se 2.94
Se: 0.3797 0.0668 0.2005  1 Cr 2.75, 2 Ce 2.94
Se: 0.7547 0.7547 0.2006  1 Cr 2.74, 2 Ce 2.94
K: 0.8311 0.1689 0.5000  6 Se 3.29-3.43
K: 0.5000 0.5000 0.5000  6 Se 3.29-3.45
Se: 0.6203 0.9332 0.7995  1 Cr 2.75, 2 Ce 2.94
Se: 0.0668 0.3797 0.2005  1 Cr 2.75, 2 Ce 2.94
Cr: 0.0000 0.0000 0.0000  6 Se 2.74-2.75
Ce: 0.6664 0.3336 0.0000  6 Se 2.94